# 1
{
  "formula": "TcPtF2",
  "functional": "SCAN",
  "state": "PBEsol geometry",
  "lattice_angstrom": [[4.156, 0.000, 0.000], [2.078, 3.599, 0.000], [2.078, 1.200, 3.394]],
  "species": ["Tc", "Pt", "F", "F"],
  "frac_coords": [[0.000, 0.000, 0.000], [0.500, 0.500, 0.500], [0.250, 0.250, 0.250], [0.750, 0.750, 0.750]],
  "raw_formation_energy_ev_per_atom": 0.0882
}

# 2
{
  "formula": "LiScSb2",
  "functional": "SCAN",
  "state": "PBEsol geometry",
  "lattice_angstrom": [[4.274, -0.001, 0.000], [-2.137, 4.361, -0.104], [0.001, -2.026, 4.801]],
  "species": ["Sc", "Sb", "Sb", "Li"],
  "frac_coords": [[0.000, 0.000, 0.500], [0.753, 0.506, 0.763], [0.247, 0.494, 0.237], [0.500, 0.000, 0.000]],
  "raw_formation_energy_ev_per_atom": -0.5808,
  "relative_energy_ev_per_atom": 0.0598
}

# 3
{
  "formula": "AlCo4Tc",
  "functional": "SCAN",
  "state": "PBEsol geometry",
  "lattice_angstrom": [[4.568, 0.000, 0.000], [2.284, 3.956, 0.000], [2.284, 1.319, 3.730]],
  "species": ["Al", "Co", "Co", "Co", "Co", "Tc"],
  "frac_coords": [[0.000, 0.000, 0.000], [0.374, 0.374, 0.374], [0.374, 0.374, 0.877], [0.877, 0.374, 0.374], [0.374, 0.877, 0.374], [0.750, 0.750, 0.750]],
  "delta_e_f_mev_per_atom": 165.6
}

# 4
{
  "formula": "NbGeAu3",
  "functional": "SCAN",
  "state": "PBEsol geometry",
  "lattice_angstrom": [[-1.878, 2.828, 3.273], [-3.719, 0.766, -2.797], [-2.209, -3.695, 1.925]],
  "species": ["Nb", "Au", "Au", "Au", "Ge"],
  "frac_coords": [[0.500, 0.500, 0.500], [0.000, 0.500, 0.000], [0.000, 0.000, 0.500], [0.500, 0.000, 0.000], [0.000, 0.000, 0.000]],
  "delta_e_f_mev_per_atom": 629.1
}

# 5
{
  "formula": "TlSi2Au",
  "functional": "SCAN",
  "state": "PBEsol geometry",
  "lattice_angstrom": [[4.342, 0.000, 0.000], [0.000, 4.342, 0.000], [-2.171, -2.171, 3.989]],
  "species": ["Au", "Si", "Si", "Tl"],
  "frac_coords": [[0.000, 0.000, 0.000], [0.750, 0.250, 0.500], [0.250, 0.750, 0.500], [0.500, 0.500, 0.000]],
  "raw_formation_energy_ev_per_atom": 0.6804,
  "relative_energy_ev_per_atom": 0.4970
}

# 6
{
  "formula": "TlAuCS2",
  "functional": "SCAN",
  "state": "PBEsol geometry",
  "lattice_angstrom": [[3.947, 0.000, 0.000], [0.000, 3.947, 0.000], [0.000, 0.000, 5.825]],
  "species": ["C", "Tl", "Au", "S", "S"],
  "frac_coords": [[0.000, 0.000, 0.000], [0.000, 0.000, 0.500], [0.500, 0.500, 0.500], [0.000, 0.500, 0.000], [0.500, 0.000, 0.000]],
  "raw_formation_energy_ev_per_atom": 1.1446
}

# 7
{
  "formula": "Ca5As3HO13",
  "functional": "SCAN",
  "state": "PBEsol geometry",
  "lattice_angstrom": [[6.900, 0.000, 0.000], [0.000, 9.796, 0.000], [0.000, -4.898, 8.484]],
  "species": ["Ca", "Ca", "Ca", "Ca", "Ca", "Ca", "Ca", "Ca", "Ca", "Ca", "As", "As", "As", "As", "As", "As", "H", "H", "O", "O", "O", "O", "O", "O", "O", "O", "O", "O", "O", "O", "O", "O", "O", "O", "O", "O", "O", "O", "O", "O", "O", "O", "O", "O"],
  "frac_coords": [[0.001, 0.333, 0.667], [0.501, 0.667, 0.333], [0.997, 0.667, 0.333], [0.497, 0.333, 0.667], [0.249, 0.251, 0.242], [0.249, 0.758, 0.009], [0.249, 0.991, 0.749], [0.749, 0.749, 0.758], [0.749, 0.242, 0.991], [0.749, 0.009, 0.251], [0.248, 0.401, 0.029], [0.248, 0.971, 0.372], [0.248, 0.628, 0.599], [0.748, 0.599, 0.971], [0.748, 0.029, 0.628], [0.748, 0.372, 0.401], [0.075, 0.000, 0.000], [0.575, 0.000, 0.000], [0.252, 0.604, 0.134], [0.252, 0.866, 0.470], [0.252, 0.530, 0.396], [0.752, 0.396, 0.866], [0.752, 0.134, 0.530], [0.752, 0.470, 0.604], [0.248, 0.330, 0.831], [0.248, 0.169, 0.499], [0.248, 0.501, 0.670], [0.748, 0.670, 0.169], [0.748, 0.831, 0.501], [0.748, 0.499, 0.330], [0.051, 0.345, 0.095], [0.051, 0.905, 0.251], [0.051, 0.749, 0.655], [0.551, 0.655, 0.905], [0.551, 0.095, 0.749], [0.551, 0.251, 0.345], [0.943, 0.663, 0.910], [0.943, 0.090, 0.753], [0.943, 0.247, 0.337], [0.443, 0.337, 0.090], [0.443, 0.910, 0.247], [0.443, 0.753, 0.663], [0.217, 0.000, 0.000], [0.717, 0.000, 0.000]],
  "energy_ev_per_cell": -495.76
}

# 8
{
  "formula": "CsNa2Sr",
  "functional": "SCAN",
  "state": "PBEsol geometry",
  "lattice_angstrom": [[-6.202, 2.000, 1.532], [-3.701, -3.561, 4.293], [-1.323, 2.431, 6.095]],
  "species": ["Cs", "Sr", "Na", "Na"],
  "frac_coords": [[0.500, 0.500, 0.500], [0.000, 0.000, 0.000], [0.250, 0.250, 0.250], [0.750, 0.750, 0.750]],
  "delta_e_f_mev_per_atom": 109.6
}